Compound: RbBa2MgH
Source: the Alexandria database
Functional: GGA-PBE
Structure: optimized geometry

The structure belongs to space group P4/mmm (No. 123); the cell edges are 5.7537, 5.7537 and 6.0324 Å and the angles 90.00°, 90.00° and 90.00°. Symmetry generates all atoms from Rb at (0.0000, 0.0000, 0.0000), Ba at (0.0000, 0.5000, 0.5000), Mg at (0.5000, 0.5000, 0.0000) and H at (0.0000, 0.0000, 0.5000).

The calculation puts the total magnetization at 0.000 μB per formula unit. The volume comes out at 199.70 Å³ per cell. Its total energy is -1.979 eV/atom.